1.
This record from Alexandria via LeMat-Bulk describes a relaxed ScTeOs2 crystal. The functional is PBE.

Calculated values
SG = Imm2, No. 44
Crystal system = orthorhombic
Uncorrected energy = -31.00 eV/cell
Formation energy without anion corrections = 0.23 eV/atom

Cell lengths 5.5075, 5.5075, 5.5075 Å; angles 146.07, 130.73, 61.17 degrees
Last column: nearest neighbours and their distance in Å.
Fractional coordinates of all 4 atoms:
Sc 0.0000 0.0000 0.0000  6 Os 2.80-3.02, 2 Te 2.96
Te 0.7373 0.2373 0.5000  6 Os 2.72-2.82, 2 Sc 2.96
Os 0.2701 0.7701 0.5000  2 Os 2.75, 4 Te 2.82, 2 Sc 3.02
Os 0.5058 0.5058 0.0000  2 Te 2.72, 2 Os 2.75, 4 Sc 2.80

2.
This record from Alexandria via LeMat-Bulk describes a relaxed Ca3RhPb3 crystal. The functional is PBE.

Calculated values
SG = C2/m, No. 12
Crystal system = monoclinic
Energy relative to the elements = -488 meV per atom
Uncorrected energy = -55.79 eV/cell

Cell lengths 6.1836, 6.1836, 15.7039 Å; angles 106.92, 106.92, 44.48 degrees
Last column: nearest neighbours and their distance in Å.
Fractional coordinates of all 14 atoms:
Ca 0.0222 0.0222 0.3856  3 Rh 3.24-3.41, 7 Pb 3.27-3.53
Ca 0.0945 0.0945 0.9176  7 Pb 3.21-3.43
Ca 0.2360 0.2360 0.2413  2 Rh 3.25, 6 Pb 3.29-3.42
Ca 0.7640 0.7640 0.7587  2 Rh 3.25, 6 Pb 3.29-3.42
Ca 0.9055 0.9055 0.0824  7 Pb 3.21-3.43
Ca 0.9778 0.9778 0.6144  3 Rh 3.24-3.41, 7 Pb 3.27-3.53
Rh 0.2608 0.2608 0.6142  4 Pb 2.73-2.86
Rh 0.7392 0.7392 0.3858  4 Pb 2.73-2.86
Pb 0.3459 0.3459 0.4614  3 Rh 2.73-2.86
Pb 0.3773 0.3773 0.9225  2 Pb 3.09-3.10, 7 Ca 3.21-3.43
Pb 0.4757 0.4757 0.7596  1 Rh 2.78, 1 Pb 3.10
Pb 0.5243 0.5243 0.2404  1 Rh 2.78, 1 Pb 3.10
Pb 0.6227 0.6227 0.0775  2 Pb 3.09-3.10, 7 Ca 3.21-3.43
Pb 0.6541 0.6541 0.5386  3 Rh 2.73-2.86

3.
This record from Alexandria via LeMat-Bulk describes a relaxed NaMnCdSb2 crystal. The functional is PBE.

Calculated values
SG = P4/mmm, No. 123
Crystal system = tetragonal
Uncorrected energy = -15.89 eV/cell
Formation energy without anion corrections = 0.75 eV/atom

Cell lengths 5.5485, 5.5485, 5.2017 Å; angles 90.00, 90.00, 90.00 degrees
Last column: nearest neighbours and their distance in Å.
Fractional coordinates of all 5 atoms:
Na 0.0000 0.0000 0.0000  2 Cd 2.60
Mn 0.5000 0.5000 0.0000  8 Sb 3.80, 4 Na 3.92
Cd 0.0000 0.0000 0.5000  2 Na 2.60, 4 Sb 2.77
Sb 0.0000 0.5000 0.5000  2 Cd 2.77
Sb 0.5000 0.0000 0.5000  2 Cd 2.77

4.
This record from Alexandria via LeMat-Bulk describes a relaxed BaScRh3 crystal. The functional is PBE.

Calculated values
SG = Pm-3m, No. 221
Crystal system = cubic
Energy relative to the elements = 148 meV per atom
Uncorrected energy = -29.57 eV/cell

Cell lengths 4.8752, 4.8752, 4.8752 Å; angles 90.00, 90.00, 90.00 degrees
Last column: nearest neighbours and their distance in Å.
Fractional coordinates of all 5 atoms:
Ba 0.0000 0.0000 0.0000  12 Rh 3.45
Sc 0.5000 0.5000 0.5000  6 Rh 2.44
Rh 0.0000 0.5000 0.5000  2 Sc 2.44
Rh 0.5000 0.0000 0.5000  2 Sc 2.44
Rh 0.5000 0.5000 0.0000  2 Sc 2.44

5.
This record from Alexandria via LeMat-Bulk describes a relaxed CePm6SmHo2 crystal. The functional is PBE.

Calculated values
SG = C2/m, No. 12
Crystal system = monoclinic
Energy relative to the elements = 242 meV per atom
Uncorrected energy = -45.89 eV/cell

Cell lengths 6.6560, 6.6560, 8.9165 Å; angles 101.73, 101.73, 62.87 degrees
Last column: nearest neighbours and their distance in Å.
Fractional coordinates of all 10 atoms:
Ce 0.0000 0.0000 0.0000  6 Pm 3.45-3.65, 4 Ho 3.81
Pm 0.0928 0.5655 0.1996  2 Ho 3.22-3.48, 2 Pm 3.28-3.59, 1 Sm 3.34, 1 Ce 3.45
Pm 0.1279 0.1279 0.4165  7 Pm 3.57-3.93, 1 Ce 3.65, 2 Sm 3.90
Pm 0.4345 0.9072 0.8004  2 Ho 3.22-3.48, 2 Pm 3.28-3.59, 1 Sm 3.34, 1 Ce 3.45
Pm 0.5655 0.0928 0.1996  2 Ho 3.22-3.48, 2 Pm 3.28-3.59, 1 Sm 3.34, 1 Ce 3.45
Pm 0.8721 0.8721 0.5835  7 Pm 3.57-3.93, 1 Ce 3.65, 2 Sm 3.90
Pm 0.9072 0.4345 0.8004  2 Ho 3.22-3.48, 2 Pm 3.28-3.59, 1 Sm 3.34, 1 Ce 3.45
Sm 0.5000 0.5000 0.5000  4 Pm 3.34, 2 Ho 3.41
Ho 0.4092 0.4092 0.8379  1 Ho 3.13, 4 Pm 3.22-3.48, 1 Sm 3.41
Ho 0.5908 0.5908 0.1621  1 Ho 3.13, 4 Pm 3.22-3.48, 1 Sm 3.41

6.
This record from Alexandria via LeMat-Bulk describes a relaxed KCd2Co crystal. The functional is PBE.

Calculated values
SG = Pm, No. 6
Crystal system = monoclinic
Energy relative to the elements = 341 meV per atom
Uncorrected energy = -8.67 eV/cell

Cell lengths 3.0215, 4.4003, 7.8840 Å; angles 90.00, 90.03, 90.00 degrees
Last column: nearest neighbours and their distance in Å.
Fractional coordinates of all 4 atoms:
K 0.0000 0.0000 0.0000  2 K 3.02
Cd 0.5014 0.5000 0.3311  2 Co 2.71, 2 Cd 3.02
Cd 0.5019 0.0000 0.6060  4 Co 2.67
Co 0.0020 0.5000 0.6166  6 Cd 2.67-2.71